1) In3GeSb, relaxed, DFT PBE; total moment = 0.5 μB/cell; space group = No. 221
1.0
5.663 0.000 0.000
0.000 5.663 0.000
0.000 0.000 5.663
In Ge Sb
3 1 1
direct
0.000 0.000 0.500
0.000 0.500 0.000
0.500 0.000 0.000
0.500 0.500 0.500
0.000 0.000 0.000

***

2) In3GeSb, relaxed, DFT PBE; total moment = 0.0 μB/cell; space group = No. 221
1.0
5.313 0.000 0.000
0.000 5.313 0.000
0.000 0.000 5.313
In Ge Sb
3 1 1
direct
0.000 0.000 0.500
0.000 0.500 0.000
0.500 0.000 0.000
0.000 0.000 0.000
0.500 0.500 0.500

***

It is 2) that is the most stable of them.